Entry 1:
Material: Sr5SnAu2
Method: DFT, PBE-GGA
State: optimized geometry

The value obtained for the final energy is -96.29 eV for the cell shown. For the total moment, the calculation gives 0.00 μB/atom.

The space group is I4/mcm (No. 140) and the conventional cell measures 8.489, 8.489 and 15.620 Å, with angles of 90.00, 90.00 and 90.00 degrees. The inequivalent atoms are Sr at (0.000, 0.000, 0.000), Sr at (0.172, 0.328, 0.140), Sn at (0.000, 0.000, 0.250) and Au at (0.124, 0.376, 0.500).


Entry 2:
Material: Ta2FeSbS
Method: DFT, PBE-GGA
State: optimized geometry

For the total moment, the calculation gives 0.00 μB/atom. The value obtained for the formation energy without anion corrections is 1107 meV per atom.

The space group is P4/mmm (No. 123) and the conventional cell measures 4.472, 4.472 and 5.106 Å, with angles of 90.00, 90.00 and 90.00 degrees. The inequivalent atoms are Ta at (0.000, 0.500, 0.000), Fe at (0.000, 0.000, 0.500), Sb at (0.500, 0.500, 0.500) and S at (0.500, 0.500, 0.000).


Entry 3:
Material: Cr2SbBr
Method: DFT, PBE-GGA
State: optimized geometry

For the total moment, the calculation gives 2.02 μB/atom. The value obtained for the formation energy without anion corrections is 834 meV per atom.

The space group is F-43m (No. 216) and the conventional cell measures 7.108, 7.108 and 7.108 Å, with angles of 90.00, 90.00 and 90.00 degrees. The inequivalent atoms are Cr at (0.000, 0.000, 0.000), Cr at (0.250, 0.250, 0.250), Sb at (0.250, 0.250, 0.750) and Br at (0.000, 0.000, 0.500).


Entry 4:
Material: Nd2ZnGa3
Method: DFT, PBE-GGA
State: optimized geometry

The value obtained for the final energy is -46.98 eV for the cell shown. For the total moment, the calculation gives 0.00 μB/atom.

The space group is Imm2 (No. 44) and the conventional cell measures 4.136, 4.379 and 15.097 Å, with angles of 90.00, 90.00 and 90.00 degrees. The inequivalent atoms are Nd at (0.000, 0.000, 0.000), Nd at (0.000, 0.500, 0.261), Zn at (0.000, 0.000, 0.590), Ga at (0.000, 0.000, 0.426), Ga at (0.000, 0.500, 0.670) and Ga at (0.000, 0.500, 0.836).


Entry 5:
Material: NaCaPO2
Method: DFT, PBE-GGA
State: optimized geometry

For the total moment, the calculation gives 0.54 μB/atom. The value obtained for the formation energy without anion corrections is -76 meV per atom.

The space group is P4/mmm (No. 123) and the conventional cell measures 4.288, 4.288 and 4.868 Å, with angles of 90.00, 90.00 and 90.00 degrees. The inequivalent atoms are Na at (0.000, 0.000, 0.000), Ca at (0.500, 0.500, 0.500), P at (0.000, 0.000, 0.500) and O at (0.000, 0.500, 0.000).


Entry 6:
Material: MgZnGe2
Method: DFT, PBE-GGA
State: optimized geometry

The value obtained for the final energy is -11.85 eV for the cell shown. For the total moment, the calculation gives 0.00 μB/atom.

The space group is P4/mmm (No. 123) and the conventional cell measures 3.487, 3.487 and 6.120 Å, with angles of 90.00, 90.00 and 90.00 degrees. The inequivalent atoms are Mg at (0.000, 0.000, 0.000), Zn at (0.000, 0.000, 0.500) and Ge at (0.500, 0.500, 0.277).


Entry 7:
Material: Ba2SrCa7
Method: DFT, PBE-GGA
State: optimized geometry

The value obtained for the final energy is -37.25 eV for the cell shown. For the total moment, the calculation gives 0.00 μB/atom.

The space group is Cmmm (No. 65) and the conventional cell measures 7.375, 33.350 and 3.919 Å, with angles of 90.00, 90.00 and 90.00 degrees. The inequivalent atoms are Ba at (0.000, 0.208, 0.000), Sr at (0.000, 0.500, 0.500), Ca at (0.000, 0.000, 0.000), Ca at (0.000, 0.318, 0.500) and Ca at (0.249, 0.403, 0.000).


Entry 8:
Material: TbNiGe
Method: DFT, PBE-GGA
State: optimized geometry

The value obtained for the final energy is -67.35 eV for the cell shown. For the total moment, the calculation gives 0.00 μB/atom.

The space group is C2/m (No. 12) and the conventional cell measures 10.269, 4.062 and 5.892 Å, with angles of 90.00, 102.96 and 90.00 degrees. The inequivalent atoms are Tb at (0.113, 0.000, 0.277), Ni at (0.099, 0.500, 0.905) and Ge at (0.189, 0.000, 0.798).


Entry 9:
Material: PPbSe2
Method: DFT, PBE-GGA
State: optimized geometry

For the total moment, the calculation gives 0.00 μB/atom. The value obtained for the formation energy without anion corrections is -129 meV per atom.

The space group is Pm (No. 6) and the conventional cell measures 4.461, 4.224 and 5.850 Å, with angles of 90.00, 108.37 and 90.00 degrees. The inequivalent atoms are P at (0.000, 0.000, 0.000), Pb at (0.452, 0.500, 0.437), Se at (0.727, 0.500, 0.000) and Se at (0.981, 0.000, 0.597).


Entry 10:
Material: Rb2La2I
Method: DFT, PBE-GGA
State: optimized geometry

For the total moment, the calculation gives 0.20 μB/atom. The value obtained for the formation energy without anion corrections is 242 meV per atom.

The space group is P4/mbm (No. 127) and the conventional cell measures 8.879, 8.879 and 7.530 Å, with angles of 90.00, 90.00 and 90.00 degrees. The inequivalent atoms are Rb at (0.156, 0.344, 0.000), La at (0.116, 0.616, 0.500) and I at (0.000, 0.000, 0.000).


Entry 11:
Material: AcCu4Ge4
Method: DFT, PBE-GGA
State: optimized geometry

The value obtained for the final energy is -81.09 eV for the cell shown. For the total moment, the calculation gives 0.00 μB/atom.

The space group is P4_2/nmc (No. 137, origin choice 2) and the conventional cell measures 6.275, 6.275 and 8.248 Å, with angles of 90.00, 90.00 and 90.00 degrees. The inequivalent atoms are Ac at (0.250, 0.750, 0.250), Cu at (0.053, 0.250, 0.092) and Ge at (0.012, 0.250, 0.388).


Entry 12:
Material: Nd5Te4P
Method: DFT, PBE-GGA
State: optimized geometry

For the total moment, the calculation gives 0.00 μB/atom. The value obtained for the formation energy without anion corrections is -1465 meV per atom.

The space group is I4/mmm (No. 139) and the conventional cell measures 4.393, 4.393 and 32.083 Å, with angles of 90.00, 90.00 and 90.00 degrees. The inequivalent atoms are Nd at (0.000, 0.000, 0.000), Nd at (0.000, 0.000, 0.209), Nd at (0.000, 0.000, 0.413), Te at (0.000, 0.000, 0.102), Te at (0.000, 0.000, 0.308) and P at (0.000, 0.000, 0.500).


Entry 13:
Material: Pm2YHo6Er
Method: DFT, PBE-GGA
State: optimized geometry

The value obtained for the final energy is -187.41 eV for the cell shown. For the total moment, the calculation gives 0.00 μB/atom.

The space group is C2/c (No. 15) and the conventional cell measures 8.984, 15.047 and 9.623 Å, with angles of 90.00, 98.57 and 90.00 degrees. The inequivalent atoms are Pm at (0.248, 0.053, 0.043), Y at (0.000, 0.019, 0.750), Ho at (0.064, 0.190, 0.443), Ho at (0.104, 0.395, 0.619), Ho at (0.202, 0.224, 0.813) and Er at (0.000, 0.407, 0.250).


Entry 14:
Material: MnPbW2
Method: DFT, PBE-GGA
State: optimized geometry

The value obtained for the final energy is -35.88 eV for the cell shown. For the total moment, the calculation gives 0.46 μB/atom.

The space group is P2/m (No. 10) and the conventional cell measures 2.889, 4.141 and 5.899 Å, with angles of 90.00, 95.26 and 90.00 degrees. The inequivalent atoms are Mn at (0.000, 0.000, 0.000), Pb at (0.000, 0.000, 0.500) and W at (0.401, 0.500, 0.200).


Entry 15:
Material: PuI4
Method: DFT, PBE-GGA
State: optimized geometry

For the total moment, the calculation gives 0.82 μB/atom. The value obtained for the formation energy without anion corrections is -683 meV per atom.

The space group is P-42_1c (No. 114) and the conventional cell measures 7.038, 7.038 and 7.448 Å, with angles of 90.00, 90.00 and 90.00 degrees. The inequivalent atoms are Pu at (0.000, 0.000, 0.000) and I at (0.176, 0.248, 0.346).


Entry 16:
Material: Tm7In2Rh2
Method: DFT, PBE-GGA
State: optimized geometry

The value obtained for the final energy is -112.43 eV for the cell shown. For the total moment, the calculation gives 0.00 μB/atom.

The space group is Cmmm (No. 65) and the conventional cell measures 8.023, 10.799 and 7.009 Å, with angles of 90.00, 90.00 and 90.00 degrees. The inequivalent atoms are Tm at (0.000, 0.000, 0.000), Tm at (0.000, 0.500, 0.242), Tm at (0.250, 0.250, 0.249), In at (0.178, 0.000, 0.500) and Rh at (0.000, 0.288, 0.000).


Entry 17:
Material: NaSbTe2I
Method: DFT, PBE-GGA
State: optimized geometry

For the total moment, the calculation gives 0.00 μB/atom. The value obtained for the formation energy without anion corrections is 471 meV per atom.

The space group is P4/mmm (No. 123) and the conventional cell measures 5.575, 5.575 and 5.543 Å, with angles of 90.00, 90.00 and 90.00 degrees. The inequivalent atoms are Na at (0.000, 0.000, 0.000), Sb at (0.500, 0.500, 0.500), Te at (0.000, 0.500, 0.000) and I at (0.000, 0.000, 0.500).


Entry 18:
Material: KMgIn2
Method: DFT, PBE-GGA
State: optimized geometry

The value obtained for the final energy is -24.81 eV for the cell shown. For the total moment, the calculation gives 0.00 μB/atom.

The space group is R3m (No. 160, hexagonal axes) and the conventional cell measures 5.0035, 5.0035 and 19.2699 Å, with angles of 90.00, 90.00 and 120.00 degrees. The inequivalent atoms are K at (0.0000, 0.0000, 0.0000), Mg at (0.0000, 0.0000, 0.1900), In at (0.0000, 0.0000, 0.5354) and In at (0.0000, 0.0000, 0.7945).


Entry 19:
Material: Pd8Pt3Au4
Method: DFT, PBE-GGA
State: optimized geometry

The value obtained for the final energy is -138.81 eV for the cell shown. For the total moment, the calculation gives 0.00 μB/atom.

The space group is C2/m (No. 12) and the conventional cell measures 10.661, 10.667 and 5.384 Å, with angles of 90.00, 120.01 and 90.00 degrees. The inequivalent atoms are Pd at (0.000, 0.135, 0.000), Pd at (0.000, 0.245, 0.500), Pd at (0.238, 0.000, 0.995), Pd at (0.240, 0.000, 0.488), Pt at (0.000, 0.000, 0.500), Pt at (0.250, 0.250, 0.500), Au at (0.000, 0.500, 0.000), Au at (0.000, 0.500, 0.500) and Au at (0.250, 0.250, 0.000).


Entry 20:
Material: EuLuCuSn
Method: DFT, PBE-GGA
State: optimized geometry

The value obtained for the final energy is -97.81 eV for the cell shown. For the total moment, the calculation gives 1.81 μB/atom.

The space group is F-43m (No. 216) and the conventional cell measures 7.366, 7.366 and 7.366 Å, with angles of 90.00, 90.00 and 90.00 degrees. The inequivalent atoms are Eu at (0.000, 0.000, 0.000), Lu at (0.000, 0.000, 0.500), Cu at (0.250, 0.250, 0.250) and Sn at (0.250, 0.250, 0.750).


Entry 21:
Material: MgCrCo2
Method: DFT, PBE-GGA
State: optimized geometry

The value obtained for the final energy is -72.98 eV for the cell shown. For the total moment, the calculation gives 0.33 μB/atom.

The space group is R-3m (No. 166, hexagonal axes) and the conventional cell measures 2.6350, 2.6350 and 24.8526 Å, with angles of 90.00, 90.00 and 120.00 degrees. The inequivalent atoms are Mg at (0.0000, 0.0000, 0.0000), Cr at (0.0000, 0.0000, 0.5000) and Co at (0.0000, 0.0000, 0.2433).


Entry 22:
Material: NdPaBi
Method: DFT, PBE-GGA
State: optimized geometry

The value obtained for the final energy is -36.46 eV for the cell shown. For the total moment, the calculation gives 0.43 μB/atom.

The space group is I4mm (No. 107) and the conventional cell measures 4.103, 4.103 and 10.826 Å, with angles of 90.00, 90.00 and 90.00 degrees. The inequivalent atoms are Nd at (0.000, 0.000, 0.000), Pa at (0.000, 0.000, 0.306) and Bi at (0.000, 0.000, 0.656).


Entry 23:
Material: Li2CuAg
Method: DFT, PBE-GGA
State: optimized geometry

The value obtained for the final energy is -31.89 eV for the cell shown. For the total moment, the calculation gives 0.00 μB/atom.

The space group is R3m (No. 160, hexagonal axes) and the conventional cell measures 2.8693, 2.8693 and 26.8159 Å, with angles of 90.00, 90.00 and 120.00 degrees. The inequivalent atoms are Li at (0.0000, 0.0000, 0.0000), Li at (0.0000, 0.0000, 0.2381), Cu at (0.0000, 0.0000, 0.4965) and Ag at (0.0000, 0.0000, 0.7490).